[1]
The following is a PBE calculation of an optimized crystal structure of NaPdI, from Alexandria via LeMat-Bulk.

a = 9.102 Å, b = 5.106 Å, c = 5.106 Å
α = 88.88°, β = 121.42°, γ = 58.58°
Positions (direct):
I: 0.819 0.670 0.805
I: 0.319 0.695 0.830
Na: 0.338 0.283 0.353
Na: 0.838 0.147 0.217
Pd: 0.643 0.829 0.145
Pd: 0.143 0.355 0.671

Results
Energy above the lowest structure with this stoichiometry   76 meV per atom
DOS at the Fermi energy   0.00 states/eV/cell
Uncorrected formation energy   -453 meV per atom
E_tot   -3.141 eV per atom

[2]
The following is a PBE calculation of an optimized crystal structure of CoSbPt3, from Alexandria via LeMat-Bulk.

a = 4.616 Å, b = 4.616 Å, c = 4.616 Å
α = 90.00°, β = 90.00°, γ = 90.00°
Positions (direct):
Sb: 0.500 0.500 0.500
Co: 0.000 0.000 0.000
Pt: 0.000 0.500 0.000
Pt: 0.000 0.000 0.500
Pt: 0.500 0.000 0.000

Results
Energy above the lowest structure with this stoichiometry   0 meV per atom
DOS at the Fermi energy   4.81 states/eV/cell
Uncorrected formation energy   670 meV per atom
E_tot   -5.200 eV per atom

[3]
The following is a PBE calculation of an optimized crystal structure of BiAsF2, from Alexandria via LeMat-Bulk.

a = 6.241 Å, b = 6.241 Å, c = 6.241 Å
α = 35.59°, β = 35.59°, γ = 35.59°
Positions (direct):
As: 0.500 0.500 0.500
Bi: 0.000 0.000 0.000
F: 0.803 0.803 0.803
F: 0.197 0.197 0.197

Results
Energy above the lowest structure with this stoichiometry   368 meV per atom
DOS at the Fermi energy   1.52 states/eV/cell
Uncorrected formation energy   -740 meV per atom
E_tot   -3.808 eV per atom

[4]
The following is a PBE calculation of an optimized crystal structure of KTbEr4Se8, from Alexandria via LeMat-Bulk.

a = 8.512 Å, b = 8.512 Å, c = 8.563 Å
α = 60.20°, β = 60.20°, γ = 60.00°
Positions (direct):
K: 0.373 0.373 0.881
Tb: 0.005 0.005 0.984
Er: 0.625 0.625 0.124
Er: 0.005 0.486 0.505
Er: 0.486 0.005 0.505
Er: 0.005 0.005 0.505
Se: 0.237 0.796 0.731
Se: 0.796 0.237 0.731
Se: 0.237 0.237 0.731
Se: 0.234 0.234 0.299
Se: 0.756 0.228 0.259
Se: 0.228 0.756 0.259
Se: 0.756 0.756 0.259
Se: 0.757 0.757 0.728

Results
DOS at the Fermi energy   0.00 states/eV/cell
Uncorrected formation energy   -1738 meV per atom
E_tot   -5.442 eV per atom

[5]
The following is a PBE calculation of an optimized crystal structure of TiV3P, from Alexandria via LeMat-Bulk.

a = 4.329 Å, b = 4.329 Å, c = 4.329 Å
α = 90.00°, β = 90.00°, γ = 90.00°
Positions (direct):
P: 0.000 0.000 0.000
V: 0.000 0.500 0.000
V: 0.000 0.000 0.500
V: 0.500 0.000 0.000
Ti: 0.500 0.500 0.500

Results
Energy above the lowest structure with this stoichiometry   676 meV per atom
Energy of formation from the pure elements   147 meV/atom
DOS at the Fermi energy   5.96 states/eV/cell
E_tot   -7.985 eV per atom

[6]
The following is a PBE calculation of an optimized crystal structure of Er3GaTe, from Alexandria via LeMat-Bulk.

a = 6.811 Å, b = 10.231 Å, c = 10.233 Å
α = 129.18°, β = 90.00°, γ = 90.00°
Positions (direct):
Er: 0.984 0.735 0.523
Er: 0.016 0.265 0.477
Er: 0.484 0.765 0.977
Er: 0.516 0.235 0.023
Er: 0.516 0.726 0.517
Er: 0.484 0.274 0.483
Er: 0.016 0.774 0.983
Er: 0.984 0.226 0.017
Er: 0.240 0.597 0.153
Er: 0.760 0.403 0.847
Er: 0.740 0.903 0.347
Er: 0.260 0.097 0.653
Ga: 0.743 0.050 0.701
Ga: 0.257 0.950 0.299
Ga: 0.243 0.450 0.799
Ga: 0.757 0.550 0.201
Te: 0.246 0.415 0.335
Te: 0.754 0.585 0.665
Te: 0.746 0.085 0.165
Te: 0.254 0.915 0.835

Results
DOS at the Fermi energy   15.77 states/eV/cell
Uncorrected formation energy   -699 meV per atom
E_tot   -4.670 eV per atom

[7]
The following is a PBE calculation of an optimized crystal structure of SrOs2Se, from Alexandria via LeMat-Bulk.

a = 4.635 Å, b = 4.635 Å, c = 4.635 Å
α = 114.41°, β = 114.41°, γ = 99.99°
Positions (direct):
Os: 0.000 0.000 0.000
Os: 0.250 0.750 0.500
Se: 0.500 0.500 0.000
Sr: 0.750 0.250 0.500

Results
DOS at the Fermi energy   5.29 states/eV/cell
Uncorrected formation energy   951 meV per atom
E_tot   -5.956 eV per atom

[8]
The following is a PBE calculation of an optimized crystal structure of PrNd3Sm3, from Alexandria via LeMat-Bulk.

a = 8.886 Å, b = 8.886 Å, c = 8.967 Å
α = 60.30°, β = 60.30°, γ = 60.00°
Positions (direct):
Pr: 0.648 0.648 0.057
Pr: 0.352 0.352 0.943
Nd: 0.294 0.820 0.825
Nd: 0.820 0.061 0.825
Nd: 0.061 0.294 0.825
Nd: 0.939 0.706 0.175
Nd: 0.180 0.939 0.175
Nd: 0.706 0.180 0.175
Sm: 0.273 0.432 0.359
Sm: 0.936 0.273 0.359
Sm: 0.432 0.936 0.359
Sm: 0.568 0.064 0.641
Sm: 0.064 0.727 0.641
Sm: 0.727 0.568 0.641

Results
Energy above the lowest structure with this stoichiometry   0 meV per atom
Energy of formation from the pure elements   217 meV/atom
DOS at the Fermi energy   23.38 states/eV/cell
E_tot   -4.531 eV per atom

Q: What is the DOS at the Fermi energy in the seventh record?
A: 5.29 states/eV/cell

Q: Look up the DOS at the Fermi energy of the third one.
A: 1.52 states/eV/cell